Entry 1:
First-principles (PBE) data for an optimized crystal structure of SrTl2F4, as listed in Alexandria.

Unit cell a=7.7473 b=7.7473 c=7.7473 alpha=143.97 beta=143.97 gamma=51.88
Last column: nearest neighbours and their distance in Å.
Element x y z (fractional)
Sr (0.0000, 0.0000, 0.0000)  6 F 2.40-2.43
Tl (0.3512, 0.3512, 0.0000)  1 F 2.46
Tl (0.6488, 0.6488, 0.0000)  1 F 2.46
F (0.0000, 0.5000, 0.5000)  2 Sr 2.40
F (0.1743, 0.1743, 0.0000)  1 Sr 2.43, 1 Tl 2.46
F (0.5000, 0.0000, 0.5000)  2 Sr 2.40
F (0.8257, 0.8257, 0.0000)  1 Sr 2.43, 1 Tl 2.46

Computed properties:
DOS at the Fermi energy, states/eV/cell: 0.0
Raw formation energy, eV/atom: -2.611
Symmetry: I4/mmm, No. 139

Entry 2:
First-principles (PBE) data for an optimized crystal structure of RbIn2H, as listed in Alexandria.

Unit cell a=6.9480 b=6.9480 c=6.9480 alpha=119.86 beta=119.86 gamma=90.24
Last column: nearest neighbours and their distance in Å.
Element x y z (fractional)
Rb (0.0000, 0.0000, 0.0000)  12 In 4.06-4.10, 4 Rb 4.26, 4 H 4.26
Rb (0.7500, 0.2500, 0.5000)  12 In 4.06-4.10, 4 Rb 4.26, 4 H 4.26
In (0.3722, 0.6250, 0.2472)  2 H 2.13
In (0.3750, 0.6222, 0.7472)  2 H 2.13
In (0.3778, 0.1250, 0.7528)  2 H 2.13
In (0.8750, 0.6278, 0.2528)  2 H 2.13
H (0.2500, 0.7500, 0.5000)  4 In 2.13
H (0.5000, 0.5000, 0.0000)  4 In 2.13

Computed properties:
DOS at the Fermi energy, states/eV/cell: 2.6
Symmetry: I-42d, No. 122
Final energy, eV per atom: -2.215